Computed, not measured: crystalline Pm3Sc2Cd3 at its relaxed geometry at the GGA-PBE level of DFT.

abc: 3.6615 5.4035 22.0104
angles: 90.00 90.00 90.00
Space group Immm (No. 71)
One atom of each set of equivalent atoms:
1 Pm 0.0000 0.0000 0.0000 x2
2 Pm 0.0000 0.5000 0.1273 x4
3 Sc 0.0000 0.0000 0.2379 x4
4 Cd 0.0000 0.0000 0.5000 x2
5 Cd 0.0000 0.5000 0.3715 x4

Summary:
* crystal system: orthorhombic
* energy of formation from the pure elements: -0.207 eV per atom

Computed, not measured: crystalline SrCa2H at its relaxed geometry at the GGA-PBE level of DFT.

abc: 3.8185 3.8185 30.6245
angles: 90.00 90.00 120.00
Space group R-3m (No. 166, hexagonal axes)
One atom of each set of equivalent atoms:
1 Sr 0.0000 0.0000 0.0000 x3
2 Ca 0.0000 0.0000 0.1192 x6
3 H 0.0000 0.0000 0.5000 x3

Summary:
* polymorph energy (0 for the lowest one): 0.222 eV per atom
* crystal system: trigonal

Computed, not measured: crystalline HAuBr at its relaxed geometry at the GGA-PBE level of DFT.

abc: 4.3015 4.3028 8.3274
angles: 76.30 75.55 88.05
Space group P-1 (No. 2)
One atom of each set of equivalent atoms:
1 H 0.0356 0.0271 0.0314 x2
2 Au 0.0000 0.5000 0.5000 x1
3 Au 0.5000 0.0000 0.5000 x1
4 Br 0.3722 0.3658 0.2455 x2

Summary:
* polymorph energy (0 for the lowest one): 0.000 eV per atom
* crystal system: triclinic

Computed, not measured: crystalline NdScSeO2 at its relaxed geometry at the GGA-PBE level of DFT.

abc: 6.7627 4.0711 7.6044
angles: 90.00 114.12 90.00
Space group P2_1/m (No. 11)
One atom of each set of equivalent atoms:
1 Nd 0.1932 0.2500 0.4424 x2
2 Sc 0.1447 0.2500 0.9373 x2
3 Se 0.4823 0.7500 0.7446 x2
4 O 0.0030 0.7500 0.3578 x2
5 O 0.0393 0.7500 0.9058 x2

Summary:
* raw formation energy: -2.958 eV per atom
* crystal system: monoclinic

Computed, not measured: crystalline PmGa2Pt5Au at its relaxed geometry at the GGA-PBE level of DFT.

abc: 4.0992 4.0992 9.6864
angles: 90.00 90.00 90.00
Space group P4/mmm (No. 123)
One atom of each set of equivalent atoms:
1 Pm 0.0000 0.0000 0.0000 x1
2 Ga 0.5000 0.5000 0.3760 x2
3 Pt 0.0000 0.5000 0.2272 x4
4 Pt 0.5000 0.5000 0.0000 x1
5 Au 0.0000 0.0000 0.5000 x1

Summary:
* crystal system: tetragonal
* energy of formation from the pure elements: -0.545 eV per atom

Computed, not measured: crystalline MnBrCl at its relaxed geometry at the GGA-PBE level of DFT.

abc: 3.8001 3.8001 6.6350
angles: 90.00 90.00 120.00
Space group P3m1 (No. 156)
One atom of each set of equivalent atoms:
1 Mn 0.0000 0.0000 0.0000 x1
2 Br 0.6667 0.3333 0.2344 x1
3 Cl 0.3333 0.6667 0.7982 x1

Summary:
* raw formation energy: -0.928 eV per atom
* polymorph energy (0 for the lowest one): 0.005 eV per atom
* crystal system: trigonal

Computed, not measured: crystalline Pu2CuOs3 at its relaxed geometry at the GGA-PBE level of DFT.

abc: 9.1851 5.3152 5.3075
angles: 90.00 125.22 90.00
Space group C2/m (No. 12)
One atom of each set of equivalent atoms:
1 Pu 0.1221 0.0000 0.3669 x4
2 Cu 0.0000 0.5000 0.5000 x2
3 Os 0.0000 0.5000 0.0000 x2
4 Os 0.2500 0.2500 0.0000 x4

Summary:
* crystal system: monoclinic
* energy of formation from the pure elements: -0.054 eV per atom

Computed, not measured: crystalline Tb5Dy2Sc12 at its relaxed geometry at the GGA-PBE level of DFT.

abc: 14.6873 8.6763 8.2443
angles: 90.00 93.28 90.00
Space group C2/m (No. 12)
One atom of each set of equivalent atoms:
1 Tb 0.0000 0.0000 0.0000 x2
2 Tb 0.2131 0.5000 0.5146 x4
3 Tb 0.2349 0.0000 0.0744 x4
4 Dy 0.0000 0.3215 0.5000 x4
5 Sc 0.0522 0.5000 0.8378 x4
6 Sc 0.0695 0.0000 0.3719 x4
7 Sc 0.1295 0.3116 0.1659 x8
8 Sc 0.1466 0.1774 0.7480 x8

Summary:
* crystal system: monoclinic
* energy of formation from the pure elements: 0.132 eV per atom

Computed, not measured: crystalline ZrTa2C at its relaxed geometry at the GGA-PBE level of DFT.

abc: 5.3499 9.4958 3.2511
angles: 90.00 126.79 90.00
Space group C2/m (No. 12)
One atom of each set of equivalent atoms:
1 Zr 0.0000 0.0000 0.0000 x2
2 Ta 0.2500 0.2500 0.5000 x4
3 C 0.0000 0.5000 0.0000 x2

Summary:
* crystal system: monoclinic
* energy of formation from the pure elements: 0.879 eV per atom

Computed, not measured: crystalline AlZn2Cd at its relaxed geometry at the GGA-PBE level of DFT.

abc: 2.7229 5.3749 9.9801
angles: 90.00 90.00 90.00
Space group Cmm2 (No. 35)
One atom of each set of equivalent atoms:
1 Al 0.0000 0.0000 0.0000 x2
2 Zn 0.0000 0.0000 0.4647 x2
3 Zn 0.0000 0.5000 0.2352 x2
4 Cd 0.0000 0.5000 0.7271 x2

Summary:
* polymorph energy (0 for the lowest one): 0.044 eV per atom
* crystal system: orthorhombic
* energy of formation from the pure elements: 0.103 eV per atom

Computed, not measured: crystalline SrGd2Se at its relaxed geometry at the GGA-PBE level of DFT.

abc: 3.9161 3.9161 32.0239
angles: 90.00 90.00 120.00
Space group R-3m (No. 166, hexagonal axes)
One atom of each set of equivalent atoms:
1 Sr 0.0000 0.0000 0.0000 x3
2 Gd 0.0000 0.0000 0.1126 x6
3 Se 0.0000 0.0000 0.5000 x3

Summary:
* raw formation energy: -0.661 eV per atom
* crystal system: trigonal

Computed, not measured: crystalline Ti2Zn3Au at its relaxed geometry at the GGA-PBE level of DFT.

abc: 2.8084 2.8708 24.6949
angles: 90.00 90.00 90.00
Space group Imm2 (No. 44)
One atom of each set of equivalent atoms:
1 Ti 0.0000 0.0000 0.0000 x2
2 Ti 0.0000 0.5000 0.2445 x2
3 Zn 0.0000 0.0000 0.5776 x2
4 Zn 0.0000 0.5000 0.6663 x2
5 Zn 0.0000 0.5000 0.8231 x2
6 Au 0.0000 0.0000 0.4177 x2

Summary:
* polymorph energy (0 for the lowest one): 0.134 eV per atom
* crystal system: orthorhombic
* energy of formation from the pure elements: -0.112 eV per atom

Computed, not measured: crystalline ZrGaCo2Rh at its relaxed geometry at the GGA-PBE level of DFT.

abc: 4.4187 4.4187 5.0308
angles: 90.00 90.00 90.00
Space group P4/mmm (No. 123)
One atom of each set of equivalent atoms:
1 Zr 0.0000 0.0000 0.0000 x1
2 Ga 0.0000 0.0000 0.5000 x1
3 Co 0.0000 0.5000 0.0000 x2
4 Rh 0.5000 0.5000 0.5000 x1

Summary:
* crystal system: tetragonal
* energy of formation from the pure elements: 1.419 eV per atom

Computed, not measured: crystalline SrSbPt at its relaxed geometry at the GGA-PBE level of DFT.

abc: 4.5510 4.5510 13.8141
angles: 90.00 90.00 120.00
Space group P-6m2 (No. 187)
One atom of each set of equivalent atoms:
1 Sr 0.0000 0.0000 0.0000 x1
2 Sr 0.0000 0.0000 0.3325 x2
3 Sb 0.3333 0.6667 0.1627 x2
4 Sb 0.6667 0.3333 0.5000 x1
5 Pt 0.3333 0.6667 0.5000 x1
6 Pt 0.6667 0.3333 0.1703 x2

Summary:
* raw formation energy: -0.949 eV per atom
* crystal system: hexagonal

Computed, not measured: crystalline Sr2Mg3Rh2 at its relaxed geometry at the GGA-PBE level of DFT.

abc: 11.2030 4.3441 7.8003
angles: 90.00 116.31 90.00
Space group C2/m (No. 12)
One atom of each set of equivalent atoms:
1 Sr 0.1398 0.0000 0.2821 x4
2 Mg 0.0000 0.5000 0.5000 x2
3 Mg 0.1510 0.5000 0.9306 x4
4 Rh 0.1364 0.0000 0.7043 x4

Summary:
* crystal system: monoclinic
* energy of formation from the pure elements: -0.342 eV per atom

Computed, not measured: crystalline Hg2OsCl at its relaxed geometry at the GGA-PBE level of DFT.

abc: 2.8913 4.9873 5.4427
angles: 90.00 90.00 90.00
Space group Pmmm (No. 47)
One atom of each set of equivalent atoms:
1 Hg 0.0000 0.0000 0.0000 x1
2 Hg 0.5000 0.5000 0.0000 x1
3 Os 0.0000 0.5000 0.5000 x1
4 Cl 0.5000 0.0000 0.5000 x1

Summary:
* raw formation energy: 0.981 eV per atom
* polymorph energy (0 for the lowest one): 0.497 eV per atom
* crystal system: orthorhombic

Computed, not measured: crystalline PdSe2O5 at its relaxed geometry at the GGA-PBE level of DFT.

abc: 6.9964 10.9768 6.4421
angles: 90.00 90.00 90.00
Space group Pbcn (No. 60)
One atom of each set of equivalent atoms:
1 Pd 0.0000 0.0664 0.2500 x4
2 Se 0.1314 0.3439 0.0385 x8
3 O 0.0000 0.4255 0.2500 x4
4 O 0.1645 0.0687 0.5485 x8
5 O 0.2036 0.2131 0.1580 x8

Summary:
* raw formation energy: -0.536 eV per atom
* polymorph energy (0 for the lowest one): 0.107 eV per atom
* crystal system: orthorhombic

Computed, not measured: crystalline ReP3H at its relaxed geometry at the GGA-PBE level of DFT.

abc: 3.8809 3.8809 3.8809
angles: 90.00 90.00 90.00
Space group Pm-3m (No. 221)
One atom of each set of equivalent atoms:
1 Re 0.0000 0.0000 0.0000 x1
2 P 0.0000 0.5000 0.5000 x3
3 H 0.5000 0.5000 0.5000 x1

Summary:
* polymorph energy (0 for the lowest one): 0.000 eV per atom
* crystal system: cubic

Computed, not measured: crystalline Sr2MgMn at its relaxed geometry at the GGA-PBE level of DFT.

abc: 3.8252 3.8252 9.1462
angles: 90.00 90.00 90.00
Space group P4mm (No. 99)
One atom of each set of equivalent atoms:
1 Sr 0.0000 0.0000 0.0000 x1
2 Sr 0.5000 0.5000 0.3702 x1
3 Mg 0.0000 0.0000 0.6323 x1
4 Mn 0.5000 0.5000 0.7591 x1

Summary:
* crystal system: tetragonal
* energy of formation from the pure elements: 0.273 eV per atom

Computed, not measured: crystalline AlHgIr3 at its relaxed geometry at the GGA-PBE level of DFT.

abc: 4.5071 4.5071 4.5071
angles: 90.00 90.00 90.00
Space group Pm-3m (No. 221)
One atom of each set of equivalent atoms:
1 Al 0.0000 0.0000 0.0000 x1
2 Hg 0.5000 0.5000 0.5000 x1
3 Ir 0.0000 0.0000 0.5000 x3

Summary:
* polymorph energy (0 for the lowest one): 0.000 eV per atom
* crystal system: cubic
* energy of formation from the pure elements: 0.979 eV per atom

Computed, not measured: crystalline Mg2TlPd8 at its relaxed geometry at the GGA-PBE level of DFT.

abc: 14.3126 4.1030 6.3053
angles: 90.00 105.69 90.00
Space group C2/m (No. 12)
One atom of each set of equivalent atoms:
1 Mg 0.2225 0.0000 0.1528 x4
2 Tl 0.0000 0.5000 0.5000 x2
3 Pd 0.0428 0.0000 0.2226 x4
4 Pd 0.0966 0.5000 0.9635 x4
5 Pd 0.1453 0.0000 0.6980 x4
6 Pd 0.1811 0.5000 0.4131 x4

Summary:
* polymorph energy (0 for the lowest one): 0.000 eV per atom
* crystal system: monoclinic
* energy of formation from the pure elements: -0.394 eV per atom

Computed, not measured: crystalline AlW2Cl at its relaxed geometry at the GGA-PBE level of DFT.

abc: 2.8086 4.3297 5.4382
angles: 90.00 90.89 90.00
Space group P2/m (No. 10)
One atom of each set of equivalent atoms:
1 Al 0.0000 0.0000 0.0000 x1
2 W 0.4948 0.5000 0.2317 x2
3 Cl 0.5000 0.0000 0.5000 x1

Summary:
* raw formation energy: 0.650 eV per atom
* polymorph energy (0 for the lowest one): 0.416 eV per atom
* crystal system: monoclinic

no.,E (eV/atom)
1,-3.915
2,-2.236
3,-2.851
4,-7.858
5,-5.466
6,-5.157
7,-11.129
8,-5.570
9,-9.490
10,-1.698
11,-8.993
12,-3.927
13,-5.209
14,-4.897
15,-3.607
16,-2.439
17,-5.155
18,-5.454
19,-3.259
20,-5.147
21,-4.675
22,-7.224